Entry 1:
SbCI2F: relaxed, PBE-GGA.

Cell: 5.042 5.042 4.658 Å, 90.00 90.00 90.00°
Sites, in units of the cell vectors:
Sb: 0.000 0.000 0.000
C: 0.000 0.000 0.500
I: 0.000 0.500 0.500
I: 0.500 0.000 0.500
F: 0.500 0.500 0.000

Summary:
Space group ... P4/mmm
Formation energy (no corrections) ... 0.77 eV/atom
Energy above the lowest structure with this stoichiometry ... 0 meV per atom

---

Entry 2:
RbCdInHg2: relaxed, PBE-GGA.

Cell: 5.755 5.755 5.610 Å, 90.00 90.00 90.00°
Sites, in units of the cell vectors:
Rb: 0.000 0.000 0.000
Cd: 0.500 0.500 0.500
In: 0.500 0.500 0.000
Hg: 0.000 0.500 0.500
Hg: 0.500 0.000 0.500

Summary:
Space group ... P4/mmm
Energy relative to the elements ... -0.0033 eV per atom
Energy above the lowest structure with this stoichiometry ... 140 meV per atom

---

Look up the energy above the lowest structure with this stoichiometry of the first one. 0 meV per atom

---

What is the energy above the lowest structure with this stoichiometry in the first record? 0 meV per atom

---

Look up the energy above the lowest structure with this stoichiometry of the first one. 0 meV per atom